Entry 1:
Here is a relaxed structure of ZnSb2C2 from Alexandria. Energies are from PBE-GGA.

Offset from the most stable computed form, meV/atom: 353
Final energy, eV/atom: -3.9165
Density, g cm⁻³: 5.8
Crystal system: tetragonal
Total moment, μB per formula unit: 0.00
SG: P4/mbm, No. 127
Formation energy from raw total energies, eV per atom: 1.68

a b c (Å): 7.531 7.531 3.379
angles (deg): 90.00 90.00 90.00
Positions (direct):
Sb 0.154 0.346 0.000
Sb 0.346 0.846 0.000
Sb 0.654 0.154 0.000
Sb 0.846 0.654 0.000
Zn 0.500 0.500 0.000
Zn 0.000 0.000 0.000
C 0.777 0.277 0.500
C 0.723 0.777 0.500
C 0.277 0.223 0.500
C 0.223 0.723 0.500

Entry 2:
Here is a relaxed structure of Zr6Sb3C from Alexandria. Energies are from PBE-GGA.

Final energy, eV/atom: -7.6422
Density, g cm⁻³: 6.4
Crystal system: orthorhombic
Total moment, μB per formula unit: 0.00
SG: Cmc2_1, No. 36
Formation energy from raw total energies, eV per atom: -0.35

a b c (Å): 6.430 8.727 8.727
angles (deg): 102.79 90.00 90.00
Positions (direct):
C 0.025 0.200 0.800
C 0.525 0.800 0.200
Zr 0.683 0.284 0.396
Zr 0.183 0.716 0.604
Zr 0.700 0.237 0.763
Zr 0.662 0.942 0.058
Zr 0.680 0.912 0.420
Zr 0.683 0.604 0.716
Zr 0.162 0.058 0.942
Zr 0.180 0.420 0.912
Zr 0.183 0.396 0.284
Zr 0.200 0.763 0.237
Zr 0.180 0.088 0.580
Zr 0.680 0.580 0.088
Sb 0.844 0.599 0.401
Sb 0.014 0.078 0.266
Sb 0.344 0.401 0.599
Sb 0.514 0.922 0.734
Sb 0.514 0.266 0.078
Sb 0.014 0.734 0.922

Entry 3:
Here is a relaxed structure of ZrSbC3 from Alexandria. Energies are from PBE-GGA.

Offset from the most stable computed form, meV/atom: 0
Final energy, eV/atom: -6.0178
Density, g cm⁻³: 5.0
Crystal system: cubic
Total moment, μB per formula unit: 0.00
SG: Pm-3m, No. 221
Formation energy from raw total energies, eV per atom: 2.05

a b c (Å): 4.359 4.359 4.359
angles (deg): 90.00 90.00 90.00
Positions (direct):
C 0.000 0.500 0.000
C 0.000 0.000 0.500
C 0.500 0.000 0.000
Sb 0.500 0.500 0.500
Zr 0.000 0.000 0.000

Entry 4:
Here is a relaxed structure of Zr4SbC2 from Alexandria. Energies are from PBE-GGA.

Final energy, eV/atom: -8.8290
Density, g cm⁻³: 6.9
Crystal system: orthorhombic
Total moment, μB per formula unit: 0.00
SG: Cmcm, No. 63
Formation energy from raw total energies, eV per atom: -0.72

a b c (Å): 3.548 5.973 12.080
angles (deg): 90.00 90.00 107.28
Positions (direct):
C 0.135 0.270 0.439
C 0.135 0.270 0.061
C 0.865 0.730 0.939
C 0.865 0.730 0.561
Zr 0.500 0.000 0.500
Zr 0.086 0.172 0.250
Zr 0.760 0.520 0.102
Zr 0.240 0.480 0.602
Zr 0.500 0.000 0.000
Zr 0.240 0.480 0.898
Zr 0.760 0.520 0.398
Zr 0.914 0.828 0.750
Sb 0.392 0.784 0.250
Sb 0.608 0.216 0.750